! PaNiRh, relaxed, DFT PBE-GGA; values from VASP
&SYSTEM
  ibrav = 0, nat = 3, ntyp = 3
/
ATOMIC_SPECIES
Ni 58.69 Ni.upf
Rh 102.91 Rh.upf
Pa 231.04 Pa.upf
ATOMIC_POSITIONS crystal
Ni 0.2809 0.2809 0.5618
Rh 0.9535 0.9535 0.9070
Pa 0.6156 0.6156 0.2312
CELL_PARAMETERS angstrom
-0.8264 2.2266 -2.6190
-3.4031 -0.9107 0.2996
1.5319 2.4497 3.9857
! - Formation enthalpy at 0 K: -0.456 eV per atom
! - E above lowest polymorph: 0.139 eV/atom
! - Raw total energy: -7.999 eV per atom